YTeP2 (GGA-PBE, optimized geometry); formation energy (no corrections) = -0.31 eV per atom; ρ = 5.42 Mg/m³; total moment = 0.000 μB per cell
1.0
-1.9630 2.5811 4.2126
1.9630 -2.5811 4.2126
1.9630 2.5811 -4.2126
Y Te P
1 1 2
Direct
0.0000 0.0000 0.0000
0.5000 0.5000 0.0000
0.2815 0.7815 0.5000
0.7185 0.2185 0.5000

BaSrCl (GGA-PBE, optimized geometry); formation energy (no corrections) = -0.98 eV per atom; ρ = 3.57 Mg/m³; total moment = 0.007 μB per cell; energy above the most stable polymorph in this dataset = 13.3 kJ per mole of atoms
1.0
-1.9780 1.9780 7.7431
1.9780 -1.9780 7.7431
1.9780 1.9780 -7.7431
Ba Sr Cl
1 1 1
Direct
0.0000 0.0000 0.0000
0.2858 0.2858 0.0000
0.6555 0.6555 0.0000

Hf6Hg2Pt (GGA-PBE, optimized geometry); ρ = 13.95 Mg/m³; DFT formation energy = -72 meV per atom; total moment = 0.000 μB per cell
1.0
5.7243 0.0000 0.0000
0.0000 7.2290 0.0000
-5.7080 0.0000 9.5886
Hf Hg Pt
12 4 2
Direct
0.0889 0.0425 0.2378
0.0889 0.4575 0.7378
0.1601 0.7282 0.0418
0.1601 0.7718 0.5418
0.3911 0.1470 0.0392
0.3911 0.3530 0.5392
0.6089 0.6470 0.4608
0.6089 0.8530 0.9608
0.8399 0.2282 0.4582
0.8399 0.2718 0.9582
0.9111 0.5425 0.2622
0.9111 0.9575 0.7622
0.3427 0.1027 0.7295
0.3427 0.3973 0.2295
0.6573 0.6027 0.7705
0.6573 0.8973 0.2705
0.5000 0.0000 0.5000
0.5000 0.5000 0.0000

RbLiTiF6 (GGA-PBE, optimized geometry); formation energy (no corrections) = -3.27 eV per atom; ρ = 2.83 Mg/m³; total moment = 0.000 μB per cell
1.0
5.3422 0.0000 0.0000
-2.6711 4.6265 0.0000
0.0000 0.0000 6.0353
Rb Li Ti F
1 1 1 6
Direct
0.0000 0.0000 0.0000
0.6667 0.3333 0.5000
0.3333 0.6667 0.5000
0.0241 0.3997 0.6809
0.0241 0.6244 0.3191
0.3756 0.3997 0.3191
0.3756 0.9759 0.6809
0.6003 0.6244 0.6809
0.6003 0.9759 0.3191

Rb2ZrUO6 (GGA-PBE, optimized geometry); formation energy (no corrections) = -2.82 eV per atom; ρ = 6.37 Mg/m³; total moment = 0.000 μB per cell
1.0
0.0000 4.2670 4.2670
4.2670 0.0000 4.2670
4.2670 4.2670 0.0000
Rb Zr U O
2 1 1 6
Direct
0.2500 0.2500 0.2500
0.7500 0.7500 0.7500
0.0000 0.0000 0.0000
0.5000 0.5000 0.5000
0.2521 0.2521 0.7479
0.2521 0.7479 0.2521
0.2521 0.7479 0.7479
0.7479 0.2521 0.2521
0.7479 0.2521 0.7479
0.7479 0.7479 0.2521

DyHo3Ag (GGA-PBE, optimized geometry); ρ = 8.64 Mg/m³; DFT formation energy = -6 meV per atom; total moment = 0.000 μB per cell
1.0
5.5249 -3.7096 0.0000
5.5249 3.7096 0.0000
-2.7798 0.0000 7.1720
Dy Ho Ag
2 6 2
Direct
0.0592 0.0592 0.2403
0.9408 0.9408 0.7597
0.0872 0.5870 0.3507
0.4130 0.9128 0.6493
0.4404 0.4404 0.7590
0.5596 0.5596 0.2410
0.5870 0.0872 0.3507
0.9128 0.4130 0.6493
0.2514 0.2514 0.9999
0.7486 0.7486 0.0001

Rb3O2 (GGA-PBE, optimized geometry); formation energy (no corrections) = -0.86 eV per atom; ρ = 3.37 Mg/m³; total moment = 2.002 μB per cell; energy above the most stable polymorph in this dataset = 0.0 kJ per mole of atoms
1.0
3.5832 2.0688 6.3815
-3.5832 2.0688 6.3815
0.0000 -4.1375 6.3815
Rb O
6 4
Direct
0.0475 0.7500 0.4525
0.2500 0.5475 0.9525
0.4525 0.0475 0.7500
0.5475 0.9525 0.2500
0.7500 0.4525 0.0475
0.9525 0.2500 0.5475
0.1461 0.1461 0.1461
0.3539 0.3539 0.3539
0.6461 0.6461 0.6461
0.8539 0.8539 0.8539

Mg2SbPd2 (GGA-PBE, optimized geometry); formation energy (no corrections) = -0.56 eV per atom; ρ = 6.88 Mg/m³; total moment = 0.000 μB per cell; energy above the most stable polymorph in this dataset = 0.0 kJ per mole of atoms
1.0
7.3504 0.0000 0.0000
0.0000 7.3504 0.0000
0.0000 0.0000 3.4244
Mg Sb Pd
4 2 4
Direct
0.1537 0.3463 0.0000
0.3463 0.8463 0.0000
0.6537 0.1537 0.0000
0.8463 0.6537 0.0000
0.0000 0.0000 0.5000
0.5000 0.5000 0.5000
0.1416 0.6416 0.5000
0.3584 0.1416 0.5000
0.6416 0.8584 0.5000
0.8584 0.3584 0.5000